No. 1
Here is crystalline SrLiIr2 at its relaxed geometry from Alexandria. Energies are from PBE.

Cell: 3.1918 3.1918 7.0252 Å, 90.00 90.00 90.00°
Space group P4/mmm (No. 123)
Asymmetric unit:
Sr1 0.0000 0.0000 0.0000 x1
Li1 0.0000 0.0000 0.5000 x1
Ir1 0.5000 0.5000 0.3176 x2

Computed properties:
formation energy from the elements: 121.2 kJ/mol of formula units
energy relative to the lowest polymorph listed for this composition: 0.94 eV per formula unit

No. 2
Here is crystalline Na2SiRh2O6 at its relaxed geometry from Alexandria. Energies are from PBE.

Cell: 5.2120 8.9357 5.7208 Å, 90.00 108.97 90.00°
Space group C2/m (No. 12)
Asymmetric unit:
Na1 0.0000 0.1743 0.0000 x4
Si1 0.0000 0.0000 0.5000 x2
Rh1 0.0000 0.3344 0.5000 x4
O1 0.2168 0.1525 0.6848 x8
O2 0.2249 0.0000 0.3150 x4

Computed properties:
ΔE_f (raw): -1.521 eV/atom

No. 3
Here is crystalline CsCd4Au4 at its relaxed geometry from Alexandria. Energies are from PBE.

Cell: 7.0915 7.0915 9.3094 Å, 90.00 90.00 90.00°
Space group P4_2/nmc (No. 137, origin choice 2)
Asymmetric unit:
Cs1 0.2500 0.7500 0.2500 x2
Cd1 0.0031 0.7500 0.6296 x8
Au1 0.0566 0.2500 0.0671 x8

Computed properties:
formation energy from the elements: -186.3 kJ/mol of formula units
energy relative to the lowest polymorph listed for this composition: 0.00 eV per formula unit

No. 4
Here is crystalline CrFe2Cu at its relaxed geometry from Alexandria. Energies are from PBE.

Cell: 3.5683 3.5683 7.3224 Å, 90.00 90.00 90.00°
Space group I-4m2 (No. 119)
Asymmetric unit:
Cr1 0.0000 0.0000 0.0000 x2
Fe1 0.0000 0.0000 0.5000 x2
Fe2 0.0000 0.5000 0.7500 x2
Cu1 0.0000 0.5000 0.2500 x2

Computed properties:
formation energy from the elements: 63.2 kJ/mol of formula units